# 1
The following is a DFT calculation (PBE) of crystalline AcPmErTl at its relaxed geometry.

Output
**Formation enthalpy at 0 K**: 0.038 eV/atom
**Magnetic moment**: 0.00 μB per formula unit

Geometry as CIF:
```
data_AcPmErTl
_cell_length_a 5.651
_cell_length_b 5.651
_cell_length_c 5.651
_cell_angle_alpha 60.00
_cell_angle_beta 60.00
_cell_angle_gamma 60.00
_symmetry_space_group_name_H-M 'P 1'
_symmetry_Int_Tables_number 1
loop_
_symmetry_equiv_pos_as_xyz
'x,y,z'
loop_
_atom_site_label
_atom_site_type_symbol
_atom_site_fract_x
_atom_site_fract_y
_atom_site_fract_z
Tl1 Tl 0.000 0.000 0.000
Pm1 Pm 0.250 0.250 0.250
Er1 Er 0.750 0.750 0.750
Ac1 Ac 0.500 0.500 0.500
```

---

# 2
The following is a DFT calculation (PBE) of crystalline CaInTc at its relaxed geometry.

Output
**Relative energy among the computed polymorphs**: 0.3332 eV/atom
**Formation enthalpy at 0 K**: 0.597 eV/atom
**Magnetic moment**: 1.67 μB per formula unit

Geometry as CIF:
```
data_CaInTc
_cell_length_a 4.767
_cell_length_b 4.767
_cell_length_c 4.767
_cell_angle_alpha 60.00
_cell_angle_beta 60.00
_cell_angle_gamma 60.00
_symmetry_space_group_name_H-M 'P 1'
_symmetry_Int_Tables_number 1
loop_
_symmetry_equiv_pos_as_xyz
'x,y,z'
loop_
_atom_site_label
_atom_site_type_symbol
_atom_site_fract_x
_atom_site_fract_y
_atom_site_fract_z
Tc1 Tc 0.750 0.750 0.750
In1 In 0.500 0.500 0.500
Ca1 Ca 0.000 0.000 0.000
```

---

# 3
The following is a DFT calculation (PBE) of crystalline AgGe3Os at its relaxed geometry.

Output
**Relative energy among the computed polymorphs**: 0.0000 eV/atom
**Formation enthalpy at 0 K**: 0.464 eV/atom
**Magnetic moment**: 0.00 μB per formula unit

Geometry as CIF:
```
data_AgGe3Os
_cell_length_a 4.818
_cell_length_b 4.818
_cell_length_c 4.818
_cell_angle_alpha 90.00
_cell_angle_beta 90.00
_cell_angle_gamma 90.00
_symmetry_space_group_name_H-M 'P 1'
_symmetry_Int_Tables_number 1
loop_
_symmetry_equiv_pos_as_xyz
'x,y,z'
loop_
_atom_site_label
_atom_site_type_symbol
_atom_site_fract_x
_atom_site_fract_y
_atom_site_fract_z
Ge1 Ge 0.000 0.000 0.500
Ge2 Ge 0.000 0.500 0.000
Ge3 Ge 0.500 0.000 0.000
Ag1 Ag 0.500 0.500 0.500
Os1 Os 0.000 0.000 0.000
```

---

# 4
The following is a DFT calculation (PBE) of crystalline NiGePt at its relaxed geometry.

Output
**Formation enthalpy at 0 K**: -0.262 eV/atom
**Magnetic moment**: 0.00 μB per formula unit

Geometry as CIF:
```
data_NiGePt
_cell_length_a 3.065
_cell_length_b 4.018
_cell_length_c 4.018
_cell_angle_alpha 120.00
_cell_angle_beta 90.00
_cell_angle_gamma 90.00
_symmetry_space_group_name_H-M 'P 1'
_symmetry_Int_Tables_number 1
loop_
_symmetry_equiv_pos_as_xyz
'x,y,z'
loop_
_atom_site_label
_atom_site_type_symbol
_atom_site_fract_x
_atom_site_fract_y
_atom_site_fract_z
Pt1 Pt 0.051 0.000 0.000
Ni1 Ni 0.568 0.333 0.667
Ge1 Ge 0.381 0.667 0.333
```

---

# 5
The following is a DFT calculation (PBE) of crystalline MgNiAu4 at its relaxed geometry.

Output
**Formation enthalpy at 0 K**: 0.069 eV/atom
**Magnetic moment**: 0.26 μB per formula unit

Geometry as CIF:
```
data_MgNiAu4
_cell_length_a 5.438
_cell_length_b 5.438
_cell_length_c 5.438
_cell_angle_alpha 60.00
_cell_angle_beta 60.00
_cell_angle_gamma 60.00
_symmetry_space_group_name_H-M 'P 1'
_symmetry_Int_Tables_number 1
loop_
_symmetry_equiv_pos_as_xyz
'x,y,z'
loop_
_atom_site_label
_atom_site_type_symbol
_atom_site_fract_x
_atom_site_fract_y
_atom_site_fract_z
Au1 Au 0.375 0.875 0.375
Au2 Au 0.875 0.375 0.375
Au3 Au 0.375 0.375 0.375
Au4 Au 0.375 0.375 0.875
Ni1 Ni 0.000 0.000 0.000
Mg1 Mg 0.750 0.750 0.750
```

---

# 6
The following is a DFT calculation (PBE) of crystalline Ac3DyY6 at its relaxed geometry.

Output
**Formation enthalpy at 0 K**: 0.397 eV/atom
**Magnetic moment**: 0.02 μB per formula unit

Geometry as CIF:
```
data_Ac3DyY6
_cell_length_a 10.097
_cell_length_b 10.097
_cell_length_c 7.199
_cell_angle_alpha 45.47
_cell_angle_beta 45.47
_cell_angle_gamma 60.00
_symmetry_space_group_name_H-M 'P 1'
_symmetry_Int_Tables_number 1
loop_
_symmetry_equiv_pos_as_xyz
'x,y,z'
loop_
_atom_site_label
_atom_site_type_symbol
_atom_site_fract_x
_atom_site_fract_y
_atom_site_fract_z
Y1 Y 0.602 0.250 0.220
Y2 Y 0.449 0.772 0.680
Y3 Y 0.772 0.099 0.680
Y4 Y 0.099 0.449 0.680
Y5 Y 0.250 0.928 0.220
Y6 Y 0.928 0.602 0.220
Ac1 Ac 0.350 0.350 0.950
Ac2 Ac 0.093 0.093 0.722
Ac3 Ac 0.607 0.607 0.178
Dy1 Dy 0.850 0.850 0.450
```

---

# 7
The following is a DFT calculation (PBE) of crystalline AcTb3Nd6 at its relaxed geometry.

Output
**Relative energy among the computed polymorphs**: 0.0000 eV/atom
**Formation enthalpy at 0 K**: 0.070 eV/atom
**Magnetic moment**: 0.00 μB per formula unit

Geometry as CIF:
```
data_AcTb3Nd6
_cell_length_a 3.722
_cell_length_b 12.857
_cell_length_c 14.913
_cell_angle_alpha 83.60
_cell_angle_beta 90.00
_cell_angle_gamma 90.00
_symmetry_space_group_name_H-M 'P 1'
_symmetry_Int_Tables_number 1
loop_
_symmetry_equiv_pos_as_xyz
'x,y,z'
loop_
_atom_site_label
_atom_site_type_symbol
_atom_site_fract_x
_atom_site_fract_y
_atom_site_fract_z
Tb1 Tb 0.250 0.041 0.592
Tb2 Tb 0.750 0.938 0.182
Tb3 Tb 0.250 0.455 0.292
Tb4 Tb 0.750 0.959 0.408
Tb5 Tb 0.750 0.545 0.708
Tb6 Tb 0.250 0.062 0.818
Nd1 Nd 0.250 0.167 0.228
Nd2 Nd 0.250 0.398 0.533
Nd3 Nd 0.750 0.127 0.007
Nd4 Nd 0.250 0.873 0.993
Nd5 Nd 0.750 0.225 0.424
Nd6 Nd 0.250 0.755 0.316
Nd7 Nd 0.750 0.602 0.467
Nd8 Nd 0.250 0.611 0.916
Nd9 Nd 0.750 0.833 0.772
Nd10 Nd 0.750 0.245 0.684
Nd11 Nd 0.750 0.389 0.084
Nd12 Nd 0.250 0.775 0.576
Ac1 Ac 0.250 0.344 0.869
Ac2 Ac 0.750 0.656 0.131
```

---

# 8
The following is a DFT calculation (PBE) of crystalline ZrIn2Mo at its relaxed geometry.

Output
**Relative energy among the computed polymorphs**: 0.0583 eV/atom
**Formation enthalpy at 0 K**: 0.094 eV/atom
**Magnetic moment**: 0.00 μB per formula unit

Geometry as CIF:
```
data_ZrIn2Mo
_cell_length_a 4.865
_cell_length_b 3.042
_cell_length_c 5.505
_cell_angle_alpha 84.70
_cell_angle_beta 90.00
_cell_angle_gamma 90.00
_symmetry_space_group_name_H-M 'P 1'
_symmetry_Int_Tables_number 1
loop_
_symmetry_equiv_pos_as_xyz
'x,y,z'
loop_
_atom_site_label
_atom_site_type_symbol
_atom_site_fract_x
_atom_site_fract_y
_atom_site_fract_z
In1 In 0.000 0.122 0.977
In2 In 0.500 0.151 0.278
Zr1 Zr 0.500 0.694 0.758
Mo1 Mo 0.000 0.533 0.488
```

---

# 9
The following is a DFT calculation (PBE) of crystalline NpCd8Au6 at its relaxed geometry.

Output
**Formation enthalpy at 0 K**: -0.122 eV/atom
**Magnetic moment**: 3.97 μB per formula unit

Geometry as CIF:
```
data_NpCd8Au6
_cell_length_a 7.491
_cell_length_b 7.492
_cell_length_c 7.489
_cell_angle_alpha 67.02
_cell_angle_beta 66.97
_cell_angle_gamma 66.96
_symmetry_space_group_name_H-M 'P 1'
_symmetry_Int_Tables_number 1
loop_
_symmetry_equiv_pos_as_xyz
'x,y,z'
loop_
_atom_site_label
_atom_site_type_symbol
_atom_site_fract_x
_atom_site_fract_y
_atom_site_fract_z
Au1 Au 0.395 0.054 0.710
Au2 Au 0.710 0.396 0.053
Au3 Au 0.605 0.946 0.290
Au4 Au 0.290 0.604 0.947
Au5 Au 0.947 0.290 0.605
Au6 Au 0.053 0.710 0.395
Cd1 Cd 0.665 0.666 0.666
Cd2 Cd 0.335 0.334 0.334
Cd3 Cd 0.209 0.882 0.553
Cd4 Cd 0.118 0.447 0.791
Cd5 Cd 0.882 0.553 0.209
Cd6 Cd 0.791 0.118 0.447
Cd7 Cd 0.447 0.791 0.118
Cd8 Cd 0.553 0.209 0.882
Np1 Np 0.000 0.000 0.000
```

---

# 10
The following is a DFT calculation (PBE) of crystalline Pm4Pr5Dy2 at its relaxed geometry.

Output
**Relative energy among the computed polymorphs**: 0.0000 eV/atom
**Formation enthalpy at 0 K**: 0.074 eV/atom
**Magnetic moment**: 0.00 μB per formula unit

Geometry as CIF:
```
data_Pm4Pr5Dy2
_cell_length_a 3.596
_cell_length_b 11.842
_cell_length_c 9.194
_cell_angle_alpha 93.89
_cell_angle_beta 101.28
_cell_angle_gamma 90.00
_symmetry_space_group_name_H-M 'P 1'
_symmetry_Int_Tables_number 1
loop_
_symmetry_equiv_pos_as_xyz
'x,y,z'
loop_
_atom_site_label
_atom_site_type_symbol
_atom_site_fract_x
_atom_site_fract_y
_atom_site_fract_z
Pr1 Pr 0.500 0.000 0.000
Pr2 Pr 0.822 0.926 0.644
Pr3 Pr 0.903 0.462 0.807
Pr4 Pr 0.178 0.074 0.356
Pr5 Pr 0.097 0.538 0.193
Pm1 Pm 0.962 0.737 0.924
Pm2 Pm 0.038 0.263 0.076
Pm3 Pm 0.359 0.203 0.718
Pm4 Pm 0.641 0.797 0.282
Dy1 Dy 0.284 0.642 0.568
Dy2 Dy 0.716 0.358 0.432
```

---

# 11
The following is a DFT calculation (PBE) of crystalline PrNiB at its relaxed geometry.

Output
**Relative energy among the computed polymorphs**: 0.0382 eV/atom
**Formation enthalpy at 0 K**: -0.194 eV/atom
**Magnetic moment**: 0.00 μB per formula unit

Geometry as CIF:
```
data_PrNiB
_cell_length_a 4.237
_cell_length_b 3.653
_cell_length_c 3.653
_cell_angle_alpha 120.00
_cell_angle_beta 90.00
_cell_angle_gamma 90.00
_symmetry_space_group_name_H-M 'P 1'
_symmetry_Int_Tables_number 1
loop_
_symmetry_equiv_pos_as_xyz
'x,y,z'
loop_
_atom_site_label
_atom_site_type_symbol
_atom_site_fract_x
_atom_site_fract_y
_atom_site_fract_z
B1 B 0.167 0.667 0.333
Ni1 Ni 0.167 0.000 0.000
Pr1 Pr 0.667 0.333 0.667
```

---

# 12
The following is a DFT calculation (PBE) of crystalline LiAgP2Se6 at its relaxed geometry.

Output
**Energy**: -76.843 eV for the cell shown
**Magnetic moment**: 0.00 μB per formula unit

Geometry as CIF:
```
data_LiAgP2Se6
_cell_length_a 6.425
_cell_length_b 9.475
_cell_length_c 9.475
_cell_angle_alpha 88.09
_cell_angle_beta 72.45
_cell_angle_gamma 72.45
_symmetry_space_group_name_H-M 'P 1'
_symmetry_Int_Tables_number 1
loop_
_symmetry_equiv_pos_as_xyz
'x,y,z'
loop_
_atom_site_label
_atom_site_type_symbol
_atom_site_fract_x
_atom_site_fract_y
_atom_site_fract_z
Se1 Se 0.393 0.174 0.023
Se2 Se 0.507 0.405 0.303
Se3 Se 0.857 0.423 0.897
Se4 Se 0.143 0.577 0.103
Se5 Se 0.643 0.103 0.577
Se6 Se 0.493 0.595 0.697
Se7 Se 0.007 0.303 0.405
Se8 Se 0.107 0.977 0.826
Se9 Se 0.607 0.826 0.977
Se10 Se 0.993 0.697 0.595
Se11 Se 0.893 0.023 0.174
Se12 Se 0.357 0.897 0.423
Li1 Li 0.750 0.772 0.228
Li2 Li 0.250 0.228 0.772
P1 P 0.256 0.358 0.190
P2 P 0.744 0.642 0.810
P3 P 0.756 0.190 0.358
P4 P 0.244 0.810 0.642
Ag1 Ag 0.250 0.778 0.222
Ag2 Ag 0.750 0.222 0.778
```

---

Repeat the eighth record exactly.
The following is a DFT calculation (PBE) of crystalline ZrIn2Mo at its relaxed geometry.

Output
**Relative energy among the computed polymorphs**: 0.0583 eV/atom
**Formation enthalpy at 0 K**: 0.094 eV/atom
**Magnetic moment**: 0.00 μB per formula unit

Geometry as CIF:
```
data_ZrIn2Mo
_cell_length_a 4.865
_cell_length_b 3.042
_cell_length_c 5.505
_cell_angle_alpha 84.70
_cell_angle_beta 90.00
_cell_angle_gamma 90.00
_symmetry_space_group_name_H-M 'P 1'
_symmetry_Int_Tables_number 1
loop_
_symmetry_equiv_pos_as_xyz
'x,y,z'
loop_
_atom_site_label
_atom_site_type_symbol
_atom_site_fract_x
_atom_site_fract_y
_atom_site_fract_z
In1 In 0.000 0.122 0.977
In2 In 0.500 0.151 0.278
Zr1 Zr 0.500 0.694 0.758
Mo1 Mo 0.000 0.533 0.488
```

---

Question: magnetic moment of number 1 (AcPmErTl)?
Answer: 0.00 μB per formula unit

---

Question: What is the magnetic moment in the second record?
Answer: 1.67 μB per formula unit

---

Question: Look up the magnetic moment of the twelfth one.
Answer: 0.00 μB per formula unit